# PBE ZrRe2Sb, relaxed
data_ZrRe2Sb
_space_group_name_H-M_alt 'P 4 m m'
_space_group_IT_number 99
_space_group_name_Hall 'P 4 -2'
_cell_length_a 3.0890
_cell_length_b 3.0890
_cell_length_c 7.8241
_cell_angle_alpha 90.00
_cell_angle_beta 90.00
_cell_angle_gamma 90.00
loop_
_atom_site_label
_atom_site_type_symbol
_atom_site_fract_x
_atom_site_fract_y
_atom_site_fract_z
_atom_site_occupancy
Zr1 Zr 0.0000 0.0000 0.0000 1
Re1 Re 0.0000 0.0000 0.4443 1
Re2 Re 0.5000 0.5000 0.2528 1
Sb1 Sb 0.5000 0.5000 0.7004 1
# Total moment ... 0.00 Bohr magnetons per cell
# Energy ... -37.3 eV/cell